Compound: Li2Fe3CuO8
Source: Alexandria via LeMat-Bulk
Functional: PBE with a Hubbard U
Structure: optimized geometry

M_tot	8.99	μB per cell
space-group type	R-3m
uncorrected energy	-5.726	eV per atom

```
14
Lattice="2.9364 1.6953 4.8107 -2.9364 1.6953 4.8107 0.0000 -3.3906 4.8107" Properties=species:S:1:pos:R:3 pbc="T T T"
Li 0.0000 0.0000 1.7689
Li 0.0000 0.0000 12.6632
Fe -1.4682 -0.8477 4.8107
Fe -1.4682 0.8477 9.6214
Fe 0.0000 1.6953 4.8107
Cu 0.0000 0.0000 7.2161
O 0.0000 0.0000 3.7605
O 0.0000 -1.5142 5.9104
O -1.3114 0.7571 5.9104
O -1.3114 -0.7571 8.5217
O 1.3114 0.7571 5.9104
O 1.3114 -0.7571 8.5217
O 0.0000 1.5142 8.5217
O 0.0000 0.0000 10.6716
```